Compound: Cr3CdAg
Source: the Alexandria database
Functional: PBE
Structure: optimized geometry

The structure in CIF format:
```
data_Cr3CdAg
_cell_length_a 5.0047
_cell_length_b 5.0047
_cell_length_c 5.0047
_cell_angle_alpha 90.00
_cell_angle_beta 90.00
_cell_angle_gamma 90.00
_symmetry_space_group_name_H-M 'P 1'
_symmetry_Int_Tables_number 1
_symmetry_space_group_name_Hall 'P 1'
loop_
_atom_site_label
_atom_site_type_symbol
_atom_site_fract_x
_atom_site_fract_y
_atom_site_fract_z
Cd1 Cd 0.5000 0.5000 0.5000
Ag1 Ag 0.0000 0.0000 0.0000
Cr1 Cr 0.0000 0.0000 0.5000
Cr2 Cr 0.0000 0.5000 0.0000
Cr3 Cr 0.5000 0.0000 0.0000
```

Calculated values
**Size of the total moment**: 2.65 μB per atom
**E above lowest polymorph**: 0 meV/atom
**Calculated total energy**: -5.13 eV per atom
**Energy of formation from the pure elements**: 6.97 eV per formula unit